GGA-PBE PrSb2Au, relaxed; formation energy without anion corrections = -2.4 eV per formula unit; M_tot = 0.0 μB/f.u.; calculated volume = 25.52 Å³/atom; space-group type = P4/mmm (123)
1.0
-3.2067 -3.0315 -0.5347
1.2599 -2.0627 4.1384
-3.0705 2.8339 2.3473
Sb Au Pr
2 1 1
Cartesian
-1.5352 1.4170 1.1737
0.6300 -1.0314 2.0692
-1.6034 -1.5157 -0.2674
-2.5086 -1.1301 2.9755